The following is a DFT calculation (PBE-GGA) of a relaxed structure of PPbSeN2.

The space group is P4/mmm (No. 123) and the conventional cell measures 3.9113, 3.9113 and 5.3228 Å, with angles of 90.00, 90.00 and 90.00 degrees. The inequivalent atoms are P at (0.0000, 0.0000, 0.0000), Pb at (0.5000, 0.5000, 0.5000), Se at (0.0000, 0.0000, 0.5000) and N at (0.0000, 0.5000, 0.0000).

The calculated density comes out at 7.04 g/cm3. The calculation puts the formation energy from raw total energies at 1.02 eV per atom. Its relative energy among the computed polymorphs is 0.000 eV/f.u. Its total magnetization is 0.76 μB per cell. The value obtained for the density of states at the Fermi level is 0.36 states/eV/atom.